[1]
A geometry-optimized La2Tb2Dy5 structure, computed with PBE-GGA.

a b c (Å): 10.1571 10.1571 10.1571
angles (deg): 84.93 108.02 141.17
Last column: nearest neighbours and their distance in Å.
Fractional positions:
1 La 0.0026 0.1269 0.1295  4 Dy 3.38-3.59, 2 Tb 3.61-3.65, 1 La 3.69
2 La 0.0026 0.3731 0.3757  4 Dy 3.38-3.59, 2 Tb 3.61-3.65, 1 La 3.69
3 La 0.9974 0.6269 0.6243  4 Dy 3.38-3.59, 2 Tb 3.61-3.65, 1 La 3.69
4 La 0.9974 0.8731 0.8705  4 Dy 3.38-3.59, 2 Tb 3.61-3.65, 1 La 3.69
5 Tb 0.4512 0.2094 0.7418  4 Dy 3.45-3.63, 2 La 3.61, 2 Tb 3.79
6 Tb 0.4676 0.7094 0.2582  4 Dy 3.45-3.63, 2 La 3.61, 2 Tb 3.79
7 Tb 0.5390 0.0390 0.5000  4 Dy 3.29-3.63, 2 La 3.65
8 Tb 0.5390 0.5390 0.0000  4 Dy 3.29-3.63, 2 La 3.65
9 Dy 0.1116 0.4114 0.8056  5 Dy 3.19-3.56, 1 Tb 3.29, 1 La 3.38
10 Dy 0.1116 0.8060 0.2003  5 Dy 3.19-3.56, 1 Tb 3.29, 1 La 3.38
11 Dy 0.3911 0.9007 0.9904  6 Dy 3.27-3.56, 2 Tb 3.45-3.63, 2 La 3.59
12 Dy 0.4448 0.3206 0.4106  4 Dy 3.19-3.40, 2 La 3.39-3.51, 1 Tb 3.45
13 Dy 0.4448 0.5342 0.6242  4 Dy 3.19-3.40, 2 La 3.39-3.51, 1 Tb 3.45
14 Dy 0.6057 0.3060 0.1944  5 Dy 3.19-3.56, 1 Tb 3.29, 1 La 3.38
15 Dy 0.6057 0.9114 0.7997  5 Dy 3.19-3.56, 1 Tb 3.29, 1 La 3.38
16 Dy 0.9100 0.0342 0.5894  4 Dy 3.19-3.40, 2 La 3.39-3.51, 1 Tb 3.45
17 Dy 0.9102 0.4007 0.0096  6 Dy 3.27-3.56, 2 Tb 3.45-3.63, 2 La 3.59
18 Dy 0.9100 0.8206 0.3758  4 Dy 3.19-3.40, 2 La 3.39-3.51, 1 Tb 3.45

Calculated values
The calculation puts the distance to the lowest polymorph of the same formula at 0 meV/atom. The formation energy is 19.6 kJ/mol of atoms. Its total DFT energy (no corrections) is -80.59 eV per cell. The symmetry is Ima2 (46).



[2]
A geometry-optimized La8Tb2Dy structure, computed with PBE-GGA.

a b c (Å): 9.7263 9.7263 8.2418
angles (deg): 104.63 104.63 31.20
Last column: nearest neighbours and their distance in Å.
Fractional positions:
1 La 0.0468 0.0468 0.2273  1 Tb 3.64, 9 La 3.68-3.71, 2 Dy 3.70
2 La 0.1372 0.1372 0.6848  3 Tb 3.65-3.69, 7 La 3.67-3.71, 2 Dy 3.70
3 La 0.3185 0.3185 0.5879  1 Dy 3.66, 8 La 3.68-3.71, 3 Tb 3.68-3.71
4 La 0.4084 0.4084 0.0467  3 Tb 3.67, 8 La 3.67-3.71, 1 Dy 3.68
5 La 0.5916 0.5916 0.9533  3 Tb 3.67, 8 La 3.67-3.71, 1 Dy 3.68
6 La 0.6815 0.6815 0.4121  1 Dy 3.66, 8 La 3.68-3.71, 3 Tb 3.68-3.71
7 La 0.8628 0.8628 0.3152  3 Tb 3.65-3.69, 7 La 3.67-3.71, 2 Dy 3.70
8 La 0.9532 0.9532 0.7727  1 Tb 3.64, 9 La 3.68-3.71, 2 Dy 3.70
9 Tb 0.2265 0.2265 0.1346  10 La 3.64-3.71, 2 Tb 3.68
10 Tb 0.7735 0.7735 0.8654  10 La 3.64-3.71, 2 Tb 3.68
11 Dy 0.5000 0.5000 0.5000  12 La 3.66-3.70

Calculated values
The calculation puts the distance to the lowest polymorph of the same formula at 0 meV/atom. The formation energy is 1.9 kJ/mol of atoms. Its total DFT energy (no corrections) is -53.06 eV per cell. The symmetry is C2/m (12).



[3]
A geometry-optimized La3Tb8Dy3 structure, computed with PBE-GGA.

a b c (Å): 9.7728 9.7728 9.7728
angles (deg): 145.96 112.65 77.66
Last column: nearest neighbours and their distance in Å.
Fractional positions:
1 La 0.0000 0.0000 0.0000  4 Dy 3.61, 4 Tb 4.00, 4 La 4.01
2 La 0.1842 0.6842 0.5000  2 Dy 3.57, 8 Tb 3.67-3.70
3 La 0.8158 0.3158 0.5000  2 Dy 3.57, 8 Tb 3.67-3.70
4 Tb 0.1194 0.2812 0.8382  6 Tb 3.35-3.57, 1 Dy 3.64, 3 La 3.67-3.70
5 Tb 0.2387 0.8982 0.3405  5 Tb 3.10-3.46
6 Tb 0.4423 0.1018 0.3405  5 Tb 3.10-3.46
7 Tb 0.4430 0.2812 0.1618  6 Tb 3.35-3.57, 1 Dy 3.64, 3 La 3.67-3.70
8 Tb 0.5570 0.7188 0.8382  6 Tb 3.35-3.57, 1 Dy 3.64, 3 La 3.67-3.70
9 Tb 0.5577 0.8982 0.6595  5 Tb 3.10-3.46
10 Tb 0.7613 0.1018 0.6595  5 Tb 3.10-3.46
11 Tb 0.8806 0.7188 0.1618  6 Tb 3.35-3.57, 1 Dy 3.64, 3 La 3.67-3.70
12 Dy 0.2033 0.5000 0.7033  1 Dy 3.22, 2 La 3.57, 4 Tb 3.58
13 Dy 0.5000 0.5000 0.0000  2 Dy 3.22
14 Dy 0.7967 0.5000 0.2967  1 Dy 3.22, 2 La 3.57, 4 Tb 3.58

Calculated values
The formation energy is 9.6 kJ/mol of atoms. Its total DFT energy (no corrections) is -64.23 eV per cell. The symmetry is Immm (71).



[4]
A geometry-optimized La3Tb8Dy4 structure, computed with PBE-GGA.

a b c (Å): 9.3134 9.3134 6.8138
angles (deg): 111.38 111.38 87.32
Last column: nearest neighbours and their distance in Å.
Fractional positions:
1 La 0.0000 0.0000 0.0000  6 Tb 3.16-3.29
2 La 0.0000 0.5000 0.5000  4 Tb 3.23-3.38, 2 Dy 3.41
3 La 0.5000 0.0000 0.5000  4 Tb 3.23-3.38, 2 Dy 3.41
4 Tb 0.1426 0.8574 0.5000  7 Tb 3.61-3.74, 4 La 3.64-3.87, 2 Dy 3.65
5 Tb 0.2312 0.2312 0.5006  3 La 3.23-3.26, 2 Tb 3.24-3.58, 1 Dy 3.50
6 Tb 0.2401 0.2401 0.9840  4 Dy 3.22-3.50, 2 Tb 3.24-3.58, 1 La 3.29
7 Tb 0.2458 0.7542 0.0000  3 La 3.16-3.38, 3 Dy 3.27-3.37
8 Tb 0.7542 0.2458 0.0000  3 La 3.16-3.38, 3 Dy 3.27-3.37
9 Tb 0.7599 0.7599 0.0160  4 Dy 3.22-3.50, 2 Tb 3.24-3.58, 1 La 3.29
10 Tb 0.7688 0.7688 0.4994  3 La 3.23-3.26, 2 Tb 3.24-3.58, 1 Dy 3.50
11 Tb 0.8574 0.1426 0.5000  7 Tb 3.61-3.74, 4 La 3.64-3.87, 2 Dy 3.65
12 Dy 0.0000 0.5000 0.0000  4 Tb 3.22-3.37, 2 La 3.41
13 Dy 0.5000 0.0000 0.0000  4 Tb 3.22-3.37, 2 La 3.41
14 Dy 0.5000 0.5000 0.0000  6 Tb 3.27-3.50, 2 Dy 3.41
15 Dy 0.5000 0.5000 0.5000  2 Dy 3.41, 4 Tb 3.50-3.62

Calculated values
The formation energy is 36.6 kJ/mol of atoms. Its total DFT energy (no corrections) is -64.55 eV per cell. The symmetry is C2/m (12).



[5]
A geometry-optimized LaTbDy structure, computed with PBE-GGA.

a b c (Å): 3.6197 3.6197 8.8364
angles (deg): 90.00 90.00 120.00
Last column: nearest neighbours and their distance in Å.
Fractional positions:
1 La 0.0000 0.0000 0.0000  6 La 3.62, 3 Dy 3.65, 3 Tb 3.66
2 Tb 0.3333 0.6667 0.6603  3 Dy 3.53, 6 Tb 3.62, 3 La 3.66
3 Dy 0.6667 0.3333 0.3383  3 Tb 3.53, 6 Dy 3.62, 3 La 3.65

Calculated values
The calculation puts the distance to the lowest polymorph of the same formula at 0 meV/atom. The formation energy is 1.9 kJ/mol of atoms. Its total DFT energy (no corrections) is -14.10 eV per cell. The symmetry is P3m1 (156).



[6]
A geometry-optimized La2Tb3Dy6 structure, computed with PBE-GGA.

a b c (Å): 6.1149 6.1149 11.7668
angles (deg): 94.37 94.37 119.30
Last column: nearest neighbours and their distance in Å.
Fractional positions:
1 La 0.1748 0.8252 0.0000  3 La 3.47-3.69, 6 Dy 3.55-3.66
2 La 0.8252 0.1748 0.0000  3 La 3.47-3.69, 6 Dy 3.55-3.66
3 Tb 0.0000 0.0000 0.5000  6 Dy 3.50-3.54, 6 Tb 3.54
4 Tb 0.3355 0.6645 0.5000  6 Tb 3.47-3.58, 6 Dy 3.50-3.52
5 Tb 0.6645 0.3355 0.5000  6 Tb 3.47-3.58, 6 Dy 3.50-3.52
6 Dy 0.0726 0.4065 0.7439  3 Tb 3.50-3.51, 6 Dy 3.52-3.56, 2 La 3.55-3.60
7 Dy 0.2608 0.2608 0.2523  6 Dy 3.52-3.56, 3 Tb 3.52-3.54, 2 La 3.66
8 Dy 0.4065 0.0726 0.7439  3 Tb 3.50-3.51, 6 Dy 3.52-3.56, 2 La 3.55-3.60
9 Dy 0.5935 0.9274 0.2561  3 Tb 3.50-3.51, 6 Dy 3.52-3.56, 2 La 3.55-3.60
10 Dy 0.7392 0.7392 0.7477  6 Dy 3.52-3.56, 3 Tb 3.52-3.54, 2 La 3.66
11 Dy 0.9274 0.5935 0.2561  3 Tb 3.50-3.51, 6 Dy 3.52-3.56, 2 La 3.55-3.60

Calculated values
The formation energy is 17.3 kJ/mol of atoms. Its total DFT energy (no corrections) is -49.39 eV per cell. The symmetry is C2/m (12).



[7]
A geometry-optimized LaTb2Dy structure, computed with PBE-GGA.

a b c (Å): 5.0954 5.0954 5.1105
angles (deg): 90.00 90.00 90.00
Last column: nearest neighbours and their distance in Å.
Fractional positions:
1 La 0.0000 0.0000 0.0000  4 Dy 3.60, 8 Tb 3.61
2 Tb 0.0000 0.5000 0.5000  4 Tb 3.60, 4 Dy 3.61, 4 La 3.61
3 Tb 0.5000 0.0000 0.5000  4 Tb 3.60, 4 Dy 3.61, 4 La 3.61
4 Dy 0.5000 0.5000 0.0000  4 La 3.60, 8 Tb 3.61

Calculated values
The calculation puts the distance to the lowest polymorph of the same formula at 20 meV/atom. The formation energy is 2.7 kJ/mol of atoms. Its total DFT energy (no corrections) is -18.68 eV per cell. The symmetry is P4/mmm (123).



[8]
A geometry-optimized LaTb7Dy4 structure, computed with PBE-GGA.

a b c (Å): 6.2329 7.2014 8.8775
angles (deg): 90.00 76.46 89.99
Last column: nearest neighbours and their distance in Å.
Fractional positions:
1 La 0.0000 0.0000 0.0000  10 Tb 3.57-3.61, 2 Dy 3.57
2 Tb 0.0000 0.5000 0.0000  4 Dy 3.55-3.56, 6 Tb 3.56-3.59, 2 La 3.60
3 Tb 0.2229 0.0001 0.3353  6 Tb 3.52-3.61, 5 Dy 3.52-3.61, 1 La 3.57
4 Tb 0.2790 0.7483 0.6639  6 Dy 3.51-3.63, 5 Tb 3.52-3.61, 1 La 3.58
5 Tb 0.5003 0.2522 0.9998  3 Dy 3.55-3.56, 7 Tb 3.57-3.63, 2 La 3.61
6 Tb 0.4997 0.7478 0.0002  3 Dy 3.55-3.56, 7 Tb 3.57-3.63, 2 La 3.61
7 Tb 0.7210 0.2517 0.3361  6 Dy 3.51-3.63, 5 Tb 3.52-3.61, 1 La 3.58
8 Tb 0.7771 0.9999 0.6647  6 Tb 3.52-3.61, 5 Dy 3.52-3.61, 1 La 3.57
9 Dy 0.2204 0.5000 0.3345  8 Tb 3.52-3.60, 4 Dy 3.52-3.60
10 Dy 0.2785 0.2518 0.6645  8 Tb 3.51-3.63, 3 Dy 3.52-3.60, 1 La 3.57
11 Dy 0.7215 0.7482 0.3355  8 Tb 3.51-3.63, 3 Dy 3.52-3.60, 1 La 3.57
12 Dy 0.7796 0.5000 0.6655  8 Tb 3.52-3.60, 4 Dy 3.52-3.60

Calculated values
The calculation puts the distance to the lowest polymorph of the same formula at 0 meV/atom. The formation energy is 0.1 kJ/mol of atoms. Its total DFT energy (no corrections) is -55.74 eV per cell. The symmetry is P-1 (2).



[9]
A geometry-optimized La3Tb5Dy3 structure, computed with PBE-GGA.

a b c (Å): 9.6684 9.6684 5.3504
angles (deg): 90.00 90.00 120.00
Last column: nearest neighbours and their distance in Å.
Fractional positions:
1 La 0.0000 0.6396 0.0000  2 Dy 3.09, 4 Tb 3.10-3.14
2 La 0.3604 0.3604 0.0000  2 Dy 3.09, 4 Tb 3.10-3.14
3 La 0.6396 0.0000 0.0000  2 Dy 3.09, 4 Tb 3.10-3.14
4 Tb 0.0000 0.2700 0.0000  2 La 3.14, 2 Dy 3.36
5 Tb 0.2700 0.0000 0.0000  2 La 3.14, 2 Dy 3.36
6 Tb 0.3333 0.6667 0.0000  3 La 3.10
7 Tb 0.6667 0.3333 0.0000  3 La 3.10
8 Tb 0.7300 0.7300 0.0000  2 La 3.14, 2 Dy 3.36
9 Dy 0.0000 0.4796 0.5000  2 La 3.09, 2 Tb 3.36
10 Dy 0.4796 0.0000 0.5000  2 La 3.09, 2 Tb 3.36
11 Dy 0.5204 0.5204 0.5000  2 La 3.09, 2 Tb 3.36

Calculated values
The formation energy is 74.0 kJ/mol of atoms. Its total DFT energy (no corrections) is -43.31 eV per cell. The symmetry is P-62m (189).



Repeat the fourth record exactly.
A geometry-optimized La3Tb8Dy4 structure, computed with PBE-GGA.

a b c (Å): 9.3134 9.3134 6.8138
angles (deg): 111.38 111.38 87.32
Last column: nearest neighbours and their distance in Å.
Fractional positions:
1 La 0.0000 0.0000 0.0000  6 Tb 3.16-3.29
2 La 0.0000 0.5000 0.5000  4 Tb 3.23-3.38, 2 Dy 3.41
3 La 0.5000 0.0000 0.5000  4 Tb 3.23-3.38, 2 Dy 3.41
4 Tb 0.1426 0.8574 0.5000  7 Tb 3.61-3.74, 4 La 3.64-3.87, 2 Dy 3.65
5 Tb 0.2312 0.2312 0.5006  3 La 3.23-3.26, 2 Tb 3.24-3.58, 1 Dy 3.50
6 Tb 0.2401 0.2401 0.9840  4 Dy 3.22-3.50, 2 Tb 3.24-3.58, 1 La 3.29
7 Tb 0.2458 0.7542 0.0000  3 La 3.16-3.38, 3 Dy 3.27-3.37
8 Tb 0.7542 0.2458 0.0000  3 La 3.16-3.38, 3 Dy 3.27-3.37
9 Tb 0.7599 0.7599 0.0160  4 Dy 3.22-3.50, 2 Tb 3.24-3.58, 1 La 3.29
10 Tb 0.7688 0.7688 0.4994  3 La 3.23-3.26, 2 Tb 3.24-3.58, 1 Dy 3.50
11 Tb 0.8574 0.1426 0.5000  7 Tb 3.61-3.74, 4 La 3.64-3.87, 2 Dy 3.65
12 Dy 0.0000 0.5000 0.0000  4 Tb 3.22-3.37, 2 La 3.41
13 Dy 0.5000 0.0000 0.0000  4 Tb 3.22-3.37, 2 La 3.41
14 Dy 0.5000 0.5000 0.0000  6 Tb 3.27-3.50, 2 Dy 3.41
15 Dy 0.5000 0.5000 0.5000  2 Dy 3.41, 4 Tb 3.50-3.62

Calculated values
The formation energy is 36.6 kJ/mol of atoms. Its total DFT energy (no corrections) is -64.55 eV per cell. The symmetry is C2/m (12).



Question: The lowest total DFT energy (no corrections) belongs to which entry?
Answer: La2Tb2Dy5